Entry 1:
Material: Li4MnCo3O8
Method: DFT, meta-GGA SCAN
State: single point on PBEsol structure

Properties
SG: P2/m
Raw formation energy: -1.938 eV per atom
Excess energy over the best structure of this formula in the dataset: 0.008 eV/atom

a b c (Å): 2.820 4.906 9.365
angles (deg): 100.31 90.00 90.00
Fractional coordinates of all 16 atoms:
Co  0.000  0.748  0.751
Li  0.000  0.000  0.500
Li  0.500  0.246  0.752
Li  0.500  0.754  0.248
O  0.500  0.848  0.630
Mn  0.500  0.500  0.500
O  0.000  0.094  0.880
O  0.500  0.652  0.871
O  0.500  0.152  0.370
Co  0.500  0.000  0.000
O  0.000  0.906  0.120
Li  0.000  0.500  0.000
O  0.000  0.606  0.378
O  0.500  0.348  0.129
Co  0.000  0.252  0.249
O  0.000  0.394  0.622



Entry 2:
Material: NaLaAs2Se
Method: DFT, meta-GGA SCAN
State: single point on PBEsol structure

Properties
SG: P4/mmm
Raw formation energy: -0.166 eV per atom

a b c (Å): 5.621 5.621 5.680
angles (deg): 90.00 90.00 90.00
Fractional coordinates of all 5 atoms:
As  0.000  0.500  0.000
As  0.500  0.000  0.000
Na  0.500  0.500  0.500
Se  0.000  0.000  0.500
La  0.000  0.000  0.000



Entry 3:
Material: Li3Cu4SnO8
Method: DFT, meta-GGA SCAN
State: single point on PBEsol structure

Properties
SG: C2/m
Raw formation energy: -1.353 eV per atom

a b c (Å): 5.718 6.166 5.741
angles (deg): 116.56 90.00 117.62
Fractional coordinates of all 16 atoms:
Cu  0.000  0.500  0.500
Cu  0.000  0.000  0.000
Cu  0.500  0.500  0.500
Cu  0.500  0.000  0.500
O  0.277  0.554  0.746
O  0.202  0.403  0.241
O  0.293  0.057  0.761
Li  0.000  0.500  0.000
Li  0.000  0.000  0.500
O  0.798  0.597  0.759
O  0.707  0.943  0.239
O  0.236  0.943  0.239
O  0.723  0.446  0.254
Sn  0.500  0.000  0.000
Li  0.500  0.500  0.000
O  0.764  0.057  0.761



Entry 4:
Material: TlCrBr2
Method: DFT, meta-GGA SCAN
State: single point on PBEsol structure

Properties
SG: Imm2
Raw formation energy: -0.521 eV per atom
Excess energy over the best structure of this formula in the dataset: 0.008 eV/atom

a b c (Å): 3.527 3.851 8.233
angles (deg): 103.53 102.37 90.00
Fractional coordinates of all 4 atoms:
Br  0.172  0.672  0.344
Cr  0.544  0.544  0.087
Tl  0.806  0.306  0.611
Br  0.979  0.979  0.957



Entry 5:
Material: La2FePt
Method: DFT, meta-GGA SCAN
State: single point on PBEsol structure

Properties
SG: P4mm

a b c (Å): 4.117 4.117 5.802
angles (deg): 90.00 90.00 90.00
Fractional coordinates of all 4 atoms:
La  0.000  0.000  0.866
Pt  0.000  0.000  0.366
La  0.500  0.500  0.384
Fe  0.500  0.500  0.883



Entry 6:
Material: IrRhI2N
Method: DFT, meta-GGA SCAN
State: single point on PBEsol structure

Properties
SG: P4/mmm
Raw formation energy: 0.815 eV per atom
Excess energy over the best structure of this formula in the dataset: 0.000 eV/atom

a b c (Å): 3.626 5.401 5.401
angles (deg): 90.00 90.00 90.00
Fractional coordinates of all 5 atoms:
I  0.000  0.500  0.000
N  0.500  0.000  0.000
Ir  0.000  0.000  0.000
Rh  0.500  0.500  0.500
I  0.000  0.000  0.500



Entry 7:
Material: Na3Pr
Method: DFT, meta-GGA SCAN
State: single point on PBEsol structure

Properties
SG: I4/mmm

a b c (Å): 4.986 4.986 6.536
angles (deg): 112.42 112.42 90.00
Fractional coordinates of all 4 atoms:
Na  0.500  0.500  0.000
Na  0.750  0.250  0.500
Na  0.250  0.750  0.500
Pr  0.000  0.000  0.000



Entry 8:
Material: Dy5Ir3
Method: DFT, meta-GGA SCAN
State: single point on PBEsol structure

Properties
SG: P4/ncc

a b c (Å): 6.248 10.729 10.729
angles (deg): 90.00 90.00 90.00
Fractional coordinates of all 32 atoms:
Ir  0.877  0.000  0.500
Ir  0.123  0.500  0.000
Ir  0.250  0.346  0.346
Dy  0.123  0.912  0.709
Ir  0.750  0.846  0.846
Dy  0.623  0.088  0.709
Ir  0.623  0.500  0.000
Dy  0.000  0.500  0.500
Dy  0.377  0.709  0.912
Dy  0.377  0.291  0.088
Dy  0.877  0.412  0.209
Dy  0.123  0.209  0.588
Dy  0.500  0.500  0.500
Ir  0.250  0.846  0.154
Ir  0.250  0.154  0.846
Dy  0.623  0.209  0.412
Dy  0.877  0.588  0.791
Ir  0.750  0.154  0.154
Ir  0.377  0.000  0.500
Dy  0.000  0.000  0.000
Dy  0.123  0.088  0.291
Dy  0.377  0.588  0.209
Ir  0.250  0.654  0.654
Dy  0.623  0.791  0.588
Dy  0.877  0.709  0.088
Dy  0.877  0.291  0.912
Dy  0.123  0.791  0.412
Dy  0.500  0.000  0.000
Dy  0.623  0.912  0.291
Ir  0.750  0.346  0.654
Dy  0.377  0.412  0.791
Ir  0.750  0.654  0.346



Entry 9:
Material: HfNi3H
Method: DFT, meta-GGA SCAN
State: single point on PBEsol structure

Properties
SG: Pm-3m

a b c (Å): 3.739 3.739 3.739
angles (deg): 90.00 90.00 90.00
Fractional coordinates of all 5 atoms:
H  0.000  0.000  0.000
Hf  0.500  0.500  0.500
Ni  0.000  0.000  0.500
Ni  0.500  0.000  0.000
Ni  0.000  0.500  0.000



Entry 10:
Material: MgZr2Mo
Method: DFT, meta-GGA SCAN
State: single point on PBEsol structure

Properties
SG: Cmmm
Excess energy over the best structure of this formula in the dataset: 0.031 eV/atom

a b c (Å): 3.000 3.000 9.571
angles (deg): 90.00 90.00 110.62
Fractional coordinates of all 4 atoms:
Mo  0.500  0.500  0.000
Zr  0.000  0.000  0.780
Zr  0.000  0.000  0.220
Mg  0.500  0.500  0.500



Entry 11:
Material: LaScCl2
Method: DFT, meta-GGA SCAN
State: single point on PBEsol structure

Properties
SG: I-42d
Raw formation energy: -1.163 eV per atom
Excess energy over the best structure of this formula in the dataset: 0.428 eV/atom

a b c (Å): 5.842 5.842 7.746
angles (deg): 112.15 112.15 90.00
Fractional coordinates of all 8 atoms:
Cl  0.438  0.875  0.250
Cl  0.812  0.375  0.250
Sc  0.500  0.500  0.000
La  0.250  0.750  0.500
Cl  0.125  0.188  0.750
La  0.000  0.000  0.000
Cl  0.625  0.562  0.750
Sc  0.750  0.250  0.500



Entry 12:
Material: HgSeCl2
Method: DFT, meta-GGA SCAN
State: single point on PBEsol structure

Properties
SG: Cmm2
Raw formation energy: -0.182 eV per atom
Excess energy over the best structure of this formula in the dataset: 0.000 eV/atom

a b c (Å): 3.630 4.095 8.396
angles (deg): 90.00 90.00 116.31
Fractional coordinates of all 4 atoms:
Cl  0.000  0.000  0.944
Se  0.500  0.000  0.739
Cl  0.500  0.000  0.303
Hg  0.000  0.000  0.513



Entry 13:
Material: CoRu
Method: DFT, meta-GGA SCAN
State: single point on PBEsol structure

Properties
SG: F-43m

a b c (Å): 3.588 3.588 3.588
angles (deg): 60.00 60.00 60.00
Fractional coordinates of all 2 atoms:
Co  0.000  0.000  0.000
Ru  0.750  0.750  0.750



Entry 14:
Material: AlIr2Pb
Method: DFT, meta-GGA SCAN
State: single point on PBEsol structure

Properties
SG: Pmm2
Excess energy over the best structure of this formula in the dataset: 0.114 eV/atom

a b c (Å): 3.019 4.588 4.767
angles (deg): 90.00 90.00 90.00
Fractional coordinates of all 4 atoms:
Al  0.500  0.758  0.500
Pb  0.000  0.516  0.000
Ir  0.500  0.013  0.000
Ir  0.000  0.214  0.500



Entry 15:
Material: KMgSeN2
Method: DFT, meta-GGA SCAN
State: single point on PBEsol structure

Properties
SG: P4/mmm
Raw formation energy: 0.584 eV per atom
Excess energy over the best structure of this formula in the dataset: 0.000 eV/atom

a b c (Å): 4.422 4.422 5.190
angles (deg): 90.00 90.00 90.00
Fractional coordinates of all 5 atoms:
Mg  0.000  0.000  0.000
K  0.500  0.500  0.500
N  0.500  0.000  0.000
N  0.000  0.500  0.000
Se  0.000  0.000  0.500



Entry 16:
Material: BaBe2Br
Method: DFT, meta-GGA SCAN
State: single point on PBEsol structure

Properties
SG: P4mm
Raw formation energy: 0.132 eV per atom
Excess energy over the best structure of this formula in the dataset: 0.210 eV/atom

a b c (Å): 3.467 3.467 7.119
angles (deg): 90.00 90.00 90.00
Fractional coordinates of all 4 atoms:
Be  0.500  0.500  0.165
Be  0.000  0.000  0.114
Br  0.000  0.000  0.451
Ba  0.500  0.500  0.770



Entry 17:
Material: AlCd2Se
Method: DFT, meta-GGA SCAN
State: single point on PBEsol structure

Properties
SG: R3m
Raw formation energy: -0.237 eV per atom
Excess energy over the best structure of this formula in the dataset: 0.000 eV/atom

a b c (Å): 3.559 3.559 8.042
angles (deg): 77.22 77.22 60.00
Fractional coordinates of all 4 atoms:
Cd  0.994  0.994  0.017
Se  0.513  0.513  0.461
Cd  0.751  0.751  0.746
Al  0.242  0.242  0.275



Entry 18:
Material: AlCu
Method: DFT, meta-GGA SCAN
State: single point on PBEsol structure

Properties
SG: P-6m2

a b c (Å): 2.751 2.751 4.031
angles (deg): 90.00 90.00 120.00
Fractional coordinates of all 2 atoms:
Al  0.000  0.000  0.000
Cu  0.333  0.667  0.500



Entry 19:
Material: Lu3Sc
Method: DFT, meta-GGA SCAN
State: single point on PBEsol structure

Properties
SG: P6_3/mmc

a b c (Å): 5.298 6.829 6.829
angles (deg): 120.00 90.00 90.00
Fractional coordinates of all 8 atoms:
Lu  0.750  0.337  0.168
Lu  0.750  0.832  0.663
Sc  0.750  0.333  0.667
Lu  0.750  0.832  0.168
Lu  0.250  0.663  0.832
Sc  0.250  0.667  0.333
Lu  0.250  0.168  0.337
Lu  0.250  0.168  0.832



Entry 20:
Material: YCr2Pb
Method: DFT, meta-GGA SCAN
State: single point on PBEsol structure

Properties
SG: I-4m2

a b c (Å): 4.153 4.153 5.518
angles (deg): 112.10 112.10 90.00
Fractional coordinates of all 4 atoms:
Y  0.250  0.750  0.500
Cr  0.000  0.000  0.000
Pb  0.500  0.500  0.000
Cr  0.750  0.250  0.500



Respective calculated density values: 5.048 3.616 5.596 6.517 8.928 8.838 2.547 12.827 11.294 6.235 3.783 5.201 8.135 15.560 2.788 4.565 6.441 5.689 8.846 8.246 g/cm³.
Respective E_tot values: -10.037 -21.722 -10.961 -32.937 -43.962 -36.714 -13.677 -57.535 -23.192 -25.263 -19.487 -26.232 -24.758 -56.304 -9.809 -16.797 -22.402 -11.669 -45.057 -34.996 eV per atom.